Density functional theory data (GGA-PBE) for LiBeAgGe after structural relaxation.

The structure in POSCAR format:
```
LiBeAgGe
1.0
0.000 3.029 3.029
3.029 0.000 3.029
3.029 3.029 0.000
Li Be Ag Ge
1 1 1 1
direct
0.000 0.000 0.000
0.500 0.500 0.500
0.250 0.250 0.250
0.750 0.750 0.750
```

Properties
- energy relative to the elements (eV/atom) = 0.018
- calculated density (g cm⁻³) = 5.869
- total moment (μB/f.u.) = 0.00
- crystal system = cubic